[1]
DFT (PBE) results for an optimized crystal structure of Ta2CrW.

abc: 5.2021 5.2021 2.8203
angles: 79.38 79.38 115.46
With the nearest neighbours (Å) after each atom.
Sites, in units of the cell vectors:
Ta 0.0000 0.0000 0.0000  2 W 2.72, 2 Cr 2.72, 4 Ta 2.78-2.82
Ta 0.5000 0.5000 0.0000  2 Cr 2.72, 2 W 2.72, 4 Ta 2.78-2.82
W 0.5000 0.0000 0.5000  4 Ta 2.72, 2 Cr 2.78, 2 W 2.82
Cr 0.0000 0.5000 0.5000  4 Ta 2.72, 2 W 2.78, 2 Cr 2.82

Output
ΔH_f (0 K) = 65 meV/atom
symmetry = C2/m

***

[2]
DFT (PBE) results for an optimized crystal structure of TaCr2W.

abc: 2.7207 2.7207 8.4146
angles: 90.00 90.00 110.60
With the nearest neighbours (Å) after each atom.
Sites, in units of the cell vectors:
W 0.5000 0.5000 0.7500  4 Cr 2.57, 4 W 2.72
Cr 0.0000 0.0000 0.5055  2 W 2.57, 2 Ta 2.65, 4 Cr 2.72
Cr 0.0000 0.0000 0.9945  2 W 2.57, 2 Ta 2.65, 4 Cr 2.72
Ta 0.5000 0.5000 0.2500  4 Cr 2.65, 4 Ta 2.72

Output
ΔH_f (0 K) = 103 meV/atom
symmetry = Cmmm
energy relative to the lowest polymorph listed for this composition = 0.143 eV/atom

***

[3]
DFT (PBE) results for an optimized crystal structure of Ta3CrW2.

abc: 4.5238 7.1460 6.4162
angles: 90.00 90.01 71.55
With the nearest neighbours (Å) after each atom.
Sites, in units of the cell vectors:
Ta 0.1691 0.6623 0.7570  3 Cr 2.71-2.75, 5 W 2.77-2.82
Ta 0.4999 0.0000 0.2459  6 W 2.76-2.79, 2 Cr 2.77
Ta 0.8309 0.3377 0.2430  3 Cr 2.71-2.75, 5 W 2.77-2.82
Ta 0.5001 0.0000 0.7541  6 W 2.76-2.79, 2 Cr 2.77
Ta 0.1687 0.6623 0.2430  3 Cr 2.71-2.75, 5 W 2.77-2.82
Ta 0.8313 0.3377 0.7570  3 Cr 2.71-2.75, 5 W 2.77-2.82
W 0.0000 0.0000 0.5000  8 Ta 2.79-2.82
W 0.3333 0.3333 0.5000  8 Ta 2.77-2.80
W 0.6667 0.6667 0.5000  8 Ta 2.77-2.80
W 0.0000 0.0000 0.0000  8 Ta 2.76-2.77
Cr 0.3324 0.3352 0.0000  8 Ta 2.71-2.77
Cr 0.6676 0.6648 0.0000  8 Ta 2.71-2.77

Output
ΔH_f (0 K) = -58 meV/atom
symmetry = Cmmm

***

[4]
DFT (PBE) results for an optimized crystal structure of TaCrW3.

abc: 4.4826 4.4826 4.4826
angles: 90.00 90.00 90.00
With the nearest neighbours (Å) after each atom.
Sites, in units of the cell vectors:
Cr 0.0000 0.0000 0.0000  6 W 2.24
W 0.5000 0.0000 0.0000  2 Cr 2.24
W 0.0000 0.5000 0.0000  2 Cr 2.24
W 0.0000 0.0000 0.5000  2 Cr 2.24
Ta 0.5000 0.5000 0.5000  12 W 3.17

Output
ΔH_f (0 K) = 1337 meV/atom
symmetry = Pm-3m

***

| no. | spin magnetization (μB/cell) | mass density (g/cm3) |
| --- | --- | --- |
| 1 | 0.00 | 15.35 |
| 2 | 0.00 | 13.35 |
| 3 | 0.00 | 16.25 |
| 4 | 0.00 | 14.46 |